5
Lattice="4.316 0.000 0.000 0.000 4.316 0.000 0.000 0.000 4.843" Properties=species:S:1:pos:R:3 comment="CsSiN2F (SCAN, PBEsol geometry)" space_group="P4/mmm, No. 123" volume_a3_per_cell=90 magnetic_moment_mub_per_cell=0.0 raw_formation_energy_mev_per_atom=2067 n_ef_per_ev_fu=2.24 energy_ev_per_atom=-11.92 density_kg_m3=3828 pbc="T T T"
Cs 0.000 0.000 0.000
Si 2.158 2.158 2.422
N 0.000 2.158 0.000
N 2.158 0.000 0.000
F 0.000 0.000 2.422